(1)
! Fe3AgSb (meta-GGA SCAN, PBEsol geometry); values from VASP
! symmetry = Pm-3m, No. 221
! raw formation energy = 1.303 eV per atom
! total magnetic moment = 8.47 μB per formula unit
! uncorrected energy = -23.301 eV per atom
! N(E_F) = 5.5 states/eV per cell
&SYSTEM
  ibrav = 0, nat = 5, ntyp = 3
/
ATOMIC_SPECIES
Fe 55.84 Fe.upf
Ag 107.87 Ag.upf
Sb 121.76 Sb.upf
CELL_PARAMETERS angstrom
4.669 0.000 0.000
0.000 4.669 0.000
0.000 0.000 4.669
ATOMIC_POSITIONS angstrom
Fe 0.000 0.000 2.335
Fe 0.000 2.335 0.000
Fe 2.335 0.000 0.000
Ag 2.335 2.335 2.335
Sb 0.000 0.000 0.000

=====

(2)
! Fe2AgSb (meta-GGA SCAN, PBEsol geometry); values from VASP
! symmetry = I4/mmm, No. 139
! raw formation energy = 0.273 eV per atom
! total magnetic moment = 5.57 μB per formula unit
! uncorrected energy = -25.949 eV per atom
! N(E_F) = 2.4 states/eV per cell
&SYSTEM
  ibrav = 0, nat = 4, ntyp = 3
/
ATOMIC_SPECIES
Fe 55.84 Fe.upf
Ag 107.87 Ag.upf
Sb 121.76 Sb.upf
CELL_PARAMETERS angstrom
-1.985 1.985 3.813
1.985 -1.985 3.813
1.985 1.985 -3.813
ATOMIC_POSITIONS angstrom
Fe 1.985 0.000 1.906
Fe 0.000 1.985 1.906
Ag 0.000 0.000 0.000
Sb 0.000 0.000 3.813

=====

(3)
! Sc2FeAg (meta-GGA SCAN, PBEsol geometry); values from VASP
! symmetry = Imm2, No. 44
! ΔE_f = 0.01 eV/atom
! total magnetic moment = 1.30 μB per formula unit
! uncorrected energy = -19.482 eV per atom
! N(E_F) = 3.0 states/eV per cell
&SYSTEM
  ibrav = 0, nat = 4, ntyp = 3
/
ATOMIC_SPECIES
Sc 44.96 Sc.upf
Fe 55.84 Fe.upf
Ag 107.87 Ag.upf
CELL_PARAMETERS angstrom
-1.562 2.238 4.922
1.562 -2.238 4.922
1.562 2.238 -4.922
ATOMIC_POSITIONS angstrom
Sc 0.000 0.000 0.000
Sc 0.000 2.238 1.990
Fe 0.000 0.000 4.858
Ag 1.562 0.000 2.731

=====

(4)
! Sc2FeAg (meta-GGA SCAN, PBEsol geometry); values from VASP
! symmetry = R3m, No. 160
! ΔE_f = 0.24 eV/atom
! total magnetic moment = 3.19 μB per formula unit
! uncorrected energy = -19.257 eV per atom
! N(E_F) = 2.2 states/eV per cell
&SYSTEM
  ibrav = 0, nat = 4, ntyp = 3
/
ATOMIC_SPECIES
Sc 44.96 Sc.upf
Fe 55.84 Fe.upf
Ag 107.87 Ag.upf
CELL_PARAMETERS angstrom
1.500 0.866 9.292
-1.500 0.866 9.292
0.000 -1.732 9.292
ATOMIC_POSITIONS angstrom
Sc 0.000 0.000 0.000
Sc 0.000 0.000 6.573
Fe 0.000 0.000 13.790
Ag 0.000 0.000 20.986

=====

Question: N(E_F) of number 3 (Sc2FeAg)?
Answer: 3.0 states/eV per cell